Arrangement one

# GGA-PBE PmNd2Au6, optimized geometry
# size of the total moment: 0.00 μB per formula unit
# N(E_F): 10.811 states/eV per cell
# crystal system: orthorhombic
data_PmNd2Au6
_space_group_name_H-M_alt 'I m m m'
_space_group_IT_number 71
_space_group_name_Hall '-I 2 2'
_cell_length_a 3.740
_cell_length_b 7.760
_cell_length_c 14.914
_cell_angle_alpha 90.00
_cell_angle_beta 90.00
_cell_angle_gamma 90.00
loop_
_atom_site_label
_atom_site_type_symbol
_atom_site_fract_x
_atom_site_fract_y
_atom_site_fract_z
_atom_site_occupancy
Pm1 Pm 0.000 0.000 0.000 1
Nd1 Nd 0.000 0.500 0.141 1
Au1 Au 0.000 0.186 0.500 1
Au2 Au 0.000 0.316 0.324 1

Arrangement two

# GGA-PBE PmNd2Au6, optimized geometry
# size of the total moment: 0.00 μB per formula unit
# N(E_F): 6.856 states/eV per cell
# crystal system: hexagonal
data_PmNd2Au6
_space_group_name_H-M_alt 'P 6/m m m'
_space_group_IT_number 191
_space_group_name_Hall '-P 6 2'
_cell_length_a 8.2396
_cell_length_b 8.2396
_cell_length_c 3.6020
_cell_angle_alpha 90.00
_cell_angle_beta 90.00
_cell_angle_gamma 120.00
loop_
_atom_site_label
_atom_site_type_symbol
_atom_site_fract_x
_atom_site_fract_y
_atom_site_fract_z
_atom_site_occupancy
Pm1 Pm 0.0000 0.0000 0.0000 1
Nd1 Nd 0.3333 0.6667 0.0000 1
Au1 Au 0.0000 0.3330 0.5000 1

Q: Which of them is the least stable? A: arrangement one.

Arrangement one

# GGA-PBE PmNdAu, optimized geometry
# size of the total moment: 0.00 μB per formula unit
# N(E_F): 2.166 states/eV per cell
# crystal system: trigonal
data_PmNdAu
_space_group_name_H-M_alt 'P 3 m 1'
_space_group_IT_number 156
_cell_length_a 4.9976
_cell_length_b 4.9976
_cell_length_c 3.9460
_cell_angle_alpha 90.00
_cell_angle_beta 90.00
_cell_angle_gamma 120.00
loop_
_space_group_symop_operation_xyz
'x,y,z'
'-y,x-y,z'
'-x+y,-x,z'
'-y,-x,z'
'-x+y,y,z'
'x,x-y,z'
loop_
_atom_site_label
_atom_site_type_symbol
_atom_site_fract_x
_atom_site_fract_y
_atom_site_fract_z
_atom_site_occupancy
Pm1 Pm 0.0000 0.0000 0.0000 1
Nd1 Nd 0.6667 0.3333 0.4449 1
Au1 Au 0.3333 0.6667 0.7342 1

Arrangement two

# GGA-PBE PmNdAu, optimized geometry
# size of the total moment: 0.65 μB per formula unit
# N(E_F): 7.548 states/eV per cell
# crystal system: tetragonal
data_PmNdAu
_space_group_name_H-M_alt 'I 4 m m'
_space_group_IT_number 107
_space_group_name_Hall 'I 4 -2'
_cell_length_a 3.719
_cell_length_b 3.719
_cell_length_c 12.591
_cell_angle_alpha 90.00
_cell_angle_beta 90.00
_cell_angle_gamma 90.00
loop_
_atom_site_label
_atom_site_type_symbol
_atom_site_fract_x
_atom_site_fract_y
_atom_site_fract_z
_atom_site_occupancy
Pm1 Pm 0.000 0.000 0.000 1
Nd1 Nd 0.000 0.000 0.288 1
Au1 Au 0.000 0.000 0.641 1

Q: Which of them is the least stable? A: arrangement one.